Record 1
Entry from the Alexandria database: LiPrZn after structural relaxation (PBE).

## Properties
- Total magnetic moment: 0.0 μB per formula unit
- Energy of formation from the pure elements: -0.089 eV/atom
- Theoretical density: 5140 kg/m3
- Symmetry: P4/nmm (129)
- Total DFT energy (no corrections): -2.74 eV/atom
- Offset from the most stable computed form: 0.076 eV/atom

Cell lengths 3.446, 3.446, 11.604 Å; angles 89.99, 90.02, 90.00 degrees
Positions (direct):
Zn (0.873, 0.291, 0.565)
Li (0.872, 0.291, 0.830)
Zn (0.372, 0.791, 0.947)
Li (0.372, 0.791, 0.683)
Pr (0.873, 0.291, 0.129)
Pr (0.373, 0.791, 0.383)

Record 2
Entry from the Alexandria database: Li2PrZn6 after structural relaxation (PBE).

## Properties
- Total magnetic moment: 0.0 μB per formula unit
- Energy of formation from the pure elements: -0.147 eV/atom
- Theoretical density: 5366 kg/m3
- Symmetry: Immm (71)
- Total DFT energy (no corrections): -1.95 eV/atom
- Offset from the most stable computed form: 0.000 eV/atom

Cell lengths 3.512, 7.632, 7.632 Å; angles 59.16, 76.70, 76.70 degrees
Positions (direct):
Zn (0.500, 0.337, 0.663)
Pr (0.000, 0.000, 0.000)
Zn (0.683, 0.631, 0.004)
Zn (0.500, 0.663, 0.337)
Li (0.135, 0.365, 0.365)
Li (0.865, 0.635, 0.635)
Zn (0.683, 0.004, 0.631)
Zn (0.317, 0.996, 0.369)
Zn (0.317, 0.369, 0.996)

Record 3
Entry from the Alexandria database: LiPr2Zn16 after structural relaxation (PBE).

## Properties
- Total magnetic moment: 0.0 μB per formula unit
- Energy of formation from the pure elements: -0.267 eV/atom
- Theoretical density: 7003 kg/m3
- Symmetry: R3m (160)
- Total DFT energy (no corrections): -1.94 eV/atom

Cell lengths 6.866, 6.866, 6.866 Å; angles 82.84, 82.84, 82.84 degrees
Positions (direct):
Zn (0.999, 0.290, 0.708)
Zn (0.998, 0.502, 0.998)
Zn (0.290, 0.708, 0.999)
Pr (0.663, 0.663, 0.663)
Zn (0.650, 0.157, 0.650)
Li (0.906, 0.906, 0.906)
Zn (0.708, 0.290, 0.999)
Zn (0.103, 0.103, 0.103)
Zn (0.352, 0.352, 0.837)
Zn (0.650, 0.650, 0.157)
Zn (0.837, 0.352, 0.352)
Zn (0.998, 0.998, 0.502)
Zn (0.352, 0.837, 0.352)
Pr (0.338, 0.338, 0.338)
Zn (0.999, 0.708, 0.290)
Zn (0.708, 0.999, 0.290)
Zn (0.290, 0.999, 0.708)
Zn (0.502, 0.998, 0.998)
Zn (0.157, 0.650, 0.650)

- What is the theoretical density in the third record?
  7003 kg/m3

- Look up the total magnetic moment of the first one.
  0.0 μB per formula unit

- Number 3 is which compound?
  LiPr2Zn16

- theoretical density of number 3 (LiPr2Zn16)?
  7003 kg/m3